[1]
{
  "formula": "TaCr2Rh",
  "functional": "PBE",
  "state": "optimized geometry",
  "de_polymorph_ev_per_atom": 0.067,
  "cell": [[-1.511, 2.195, 4.215], [1.511, -2.195, 4.215], [1.511, 2.195, -4.215]],
  "species": ["Ta", "Cr", "Cr", "Rh"],
  "frac_coords": [[0.000, 0.000, 0.000], [0.262, 0.762, 0.500], [0.471, 0.471, 0.000], [0.733, 0.233, 0.500]]
}

***

[2]
{
  "formula": "TaCrRh2",
  "functional": "PBE",
  "state": "optimized geometry",
  "de_polymorph_ev_per_atom": 0.228,
  "cell": [[4.516, -1.388, 0.000], [4.516, 1.388, 0.000], [-0.837, 0.000, 4.644]],
  "species": ["Ta", "Cr", "Rh", "Rh"],
  "frac_coords": [[0.000, 0.000, 0.000], [0.500, 0.500, 0.500], [0.245, 0.245, 0.738], [0.755, 0.755, 0.262]]
}

***

[3]
{
  "formula": "TaCr2Rh",
  "functional": "PBE",
  "state": "optimized geometry",
  "de_polymorph_ev_per_atom": 0.198,
  "cell": [[0.000, 3.045, 3.045], [3.045, 0.000, 3.045], [3.045, 3.045, 0.000]],
  "species": ["Ta", "Cr", "Cr", "Rh"],
  "frac_coords": [[0.000, 0.000, 0.000], [0.250, 0.250, 0.250], [0.750, 0.750, 0.750], [0.500, 0.500, 0.500]]
}

***

[4]
{
  "formula": "TaCr2Rh",
  "functional": "PBE",
  "state": "optimized geometry",
  "de_polymorph_ev_per_atom": 0.266,
  "cell": [[1.414, 0.817, 8.293], [-1.414, 0.817, 8.293], [0.000, -1.633, 8.293]],
  "species": ["Ta", "Cr", "Cr", "Rh"],
  "frac_coords": [[0.000, 0.000, 0.000], [0.241, 0.241, 0.241], [0.509, 0.509, 0.509], [0.757, 0.757, 0.757]]
}

***

[5]
{
  "formula": "TaTiCrRh",
  "functional": "PBE",
  "state": "optimized geometry",
  "cell": [[3.095, 0.000, 0.000], [0.000, 3.095, 0.000], [0.000, 0.000, 6.228]],
  "species": ["Ta", "Ti", "Cr", "Rh"],
  "frac_coords": [[0.000, 0.000, 0.000], [0.000, 0.000, 0.472], [0.500, 0.500, 0.236], [0.500, 0.500, 0.728]]
}

***

[6]
{
  "formula": "TaVCrRh",
  "functional": "PBE",
  "state": "optimized geometry",
  "cell": [[0.000, 3.067, 3.067], [3.067, 0.000, 3.067], [3.067, 3.067, 0.000]],
  "species": ["Ta", "V", "Cr", "Rh"],
  "frac_coords": [[0.000, 0.000, 0.000], [0.500, 0.500, 0.500], [0.250, 0.250, 0.250], [0.750, 0.750, 0.750]]
}

***

[7]
{
  "formula": "Ta2ZnCrRh",
  "functional": "PBE",
  "state": "optimized geometry",
  "cell": [[4.647, 0.000, 0.000], [0.000, 4.647, 0.000], [0.000, 0.000, 4.368]],
  "species": ["Ta", "Ta", "Zn", "Cr", "Rh"],
  "frac_coords": [[0.000, 0.500, 0.000], [0.500, 0.000, 0.000], [0.000, 0.000, 0.000], [0.000, 0.000, 0.500], [0.500, 0.500, 0.500]]
}

***

[8]
{
  "formula": "Cr2TcRh",
  "functional": "PBE",
  "state": "optimized geometry",
  "cell": [[2.665, 0.000, 0.000], [0.000, 3.663, 0.000], [0.000, 0.000, 5.390]],
  "species": ["Cr", "Cr", "Tc", "Rh"],
  "frac_coords": [[0.000, 0.000, 0.247], [0.000, 0.000, 0.753], [0.500, 0.500, 0.000], [0.500, 0.500, 0.500]]
}

***

[9]
{
  "formula": "Cr2TcRh2",
  "functional": "PBE",
  "state": "optimized geometry",
  "de_polymorph_ev_per_atom": 0.000,
  "cell": [[7.128, 0.000, 0.000], [0.000, 7.128, 0.000], [0.000, 0.000, 2.669]],
  "species": ["Cr", "Cr", "Cr", "Cr", "Tc", "Tc", "Rh", "Rh", "Rh", "Rh"],
  "frac_coords": [[0.115, 0.385, 0.000], [0.385, 0.885, 0.000], [0.615, 0.115, 0.000], [0.885, 0.615, 0.000], [0.000, 0.000, 0.000], [0.500, 0.500, 0.000], [0.178, 0.678, 0.500], [0.322, 0.178, 0.500], [0.678, 0.822, 0.500], [0.822, 0.322, 0.500]]
}

***

[10]
{
  "formula": "CrTcRh2",
  "functional": "PBE",
  "state": "optimized geometry",
  "de_polymorph_ev_per_atom": 0.000,
  "cell": [[2.690, 0.000, 0.000], [0.000, 4.286, 0.000], [0.000, 0.000, 4.721]],
  "species": ["Cr", "Tc", "Rh", "Rh"],
  "frac_coords": [[0.000, 0.000, 0.000], [0.000, 0.500, 0.321], [0.500, 0.000, 0.490], [0.500, 0.500, 0.836]]
}

***

[11]
{
  "formula": "Cr2TcRh",
  "functional": "PBE",
  "state": "optimized geometry",
  "cell": [[2.834, 0.000, 0.000], [0.000, 2.834, 0.000], [0.000, 0.000, 6.534]],
  "species": ["Cr", "Cr", "Tc", "Rh"],
  "frac_coords": [[0.000, 0.000, 0.000], [0.500, 0.500, 0.195], [0.500, 0.500, 0.753], [0.000, 0.000, 0.452]]
}

***

[12]
{
  "formula": "Cr2TcRh",
  "functional": "PBE",
  "state": "optimized geometry",
  "cell": [[-1.448, 2.130, 4.251], [1.448, -2.130, 4.251], [1.448, 2.130, -4.251]],
  "species": ["Cr", "Cr", "Tc", "Rh"],
  "frac_coords": [[0.000, 0.000, 0.000], [0.793, 0.293, 0.500], [0.538, 0.538, 0.000], [0.259, 0.759, 0.500]]
}

***

[13]
{
  "formula": "CrTcRh2",
  "functional": "PBE",
  "state": "optimized geometry",
  "de_polymorph_ev_per_atom": 0.252,
  "cell": [[-1.417, 2.187, 4.563], [1.417, -2.187, 4.563], [1.417, 2.187, -4.563]],
  "species": ["Cr", "Tc", "Rh", "Rh"],
  "frac_coords": [[0.000, 0.000, 0.000], [0.795, 0.295, 0.500], [0.229, 0.729, 0.500], [0.523, 0.523, 0.000]]
}

***

[14]
{
  "formula": "Cr2Tc2Rh7",
  "functional": "PBE",
  "state": "optimized geometry",
  "cell": [[2.597, -4.585, 0.000], [2.597, 4.585, 0.000], [-1.129, 0.000, 6.779]],
  "species": ["Cr", "Cr", "Tc", "Tc", "Rh", "Rh", "Rh", "Rh", "Rh", "Rh", "Rh"],
  "frac_coords": [[0.247, 0.753, 0.000], [0.753, 0.247, 0.000], [0.031, 0.031, 0.669], [0.969, 0.969, 0.331], [0.082, 0.538, 0.314], [0.272, 0.272, 0.056], [0.462, 0.918, 0.686], [0.500, 0.500, 0.500], [0.538, 0.082, 0.314], [0.728, 0.728, 0.944], [0.918, 0.462, 0.686]]
}

***

Calculated total energy (computed, eV/cell): -38.6 -36.6 -38.0 -37.8 -38.3 -38.6 -35.2 -36.6 -87.5 -35.2 -36.7 -36.6 -34.2 -88.9
Formation enthalpy at 0 K (computed, eV per formula unit): -0.103 -0.421 0.419 0.691 -1.595 -0.633 6.772 0.371 0.556 -0.525 0.229 0.335 0.484 2.503
Spin magnetization (computed, μB per cell): 0.290 0.002 2.170 0.608 0.000 0.006 3.092 0.001 0.000 0.001 0.558 0.004 0.971 1.923